[1]
The following is a SCAN calculation of a crystal of Mg6Cu7 relaxed with PBEsol, from Alexandria.

Computed properties:
* electronic total energy: -10.63 eV/atom
* total magnetization: 0.00 μB/f.u.
* energy relative to the elements: -151 meV per atom

Unit cell a=4.9868 b=4.9868 c=9.3925 alpha=74.61 beta=74.61 gamma=60.00
Fractional coordinates of all 13 atoms:
Cu (0.0904, 0.5917, 0.7263)
Cu (0.4083, 0.4083, 0.2737)
Cu (0.5000, 0.5000, 0.5000)
Cu (0.5917, 0.5917, 0.7263)
Cu (0.4083, 0.9096, 0.2737)
Cu (0.9096, 0.4083, 0.2737)
Cu (0.5917, 0.0904, 0.7263)
Mg (0.8452, 0.8452, 0.4645)
Mg (0.0520, 0.0520, 0.8441)
Mg (0.6673, 0.6673, 0.9981)
Mg (0.3327, 0.3327, 0.0019)
Mg (0.9480, 0.9480, 0.1559)
Mg (0.1548, 0.1548, 0.5355)


[2]
The following is a SCAN calculation of a crystal of MgCu3 relaxed with PBEsol, from Alexandria.

Computed properties:
* electronic total energy: -12.68 eV/atom
* total magnetization: 0.00 μB/f.u.
* energy relative to the elements: -34 meV per atom

Unit cell a=2.8325 b=3.2731 c=5.5642 alpha=90.00 beta=90.00 gamma=90.00
Fractional coordinates of all 4 atoms:
Cu (0.0000, 0.0000, 0.7232)
Cu (0.0000, 0.0000, 0.2768)
Cu (0.5000, 0.5000, 0.5000)
Mg (0.5000, 0.5000, 0.0000)